(1)
The following is a PBE-GGA calculation of a geometry-optimized TmCdPt4 structure, from Alexandria via LeMat-Bulk.

Properties
D(E_F) ... 2.640 states/eV/f.u.
ΔH_f (0 K) ... -743.2 meV per atom
Spin magnetization ... 0.00 μB/cell
Electronic total energy ... -5.668 eV per atom

Cell lengths 4.0995, 8.1703, 6.5709 Å; angles 90.00, 108.15, 90.00 degrees
Sites, in units of the cell vectors:
Pt 0.3349 0.9998 0.6693
Pt 0.5009 0.2500 0.0025
Pt 0.3349 0.5002 0.6693
Tm 0.1574 0.7500 0.3143
Pt 0.4991 0.7500 0.9975
Cd 0.8405 0.7500 0.6804
Pt 0.0000 0.5000 0.0000
Tm 0.8426 0.2500 0.6857
Cd 0.1595 0.2500 0.3196
Pt 0.0000 0.0000 0.0000
Pt 0.6651 0.4998 0.3307
Pt 0.6651 0.0002 0.3307

(2)
The following is a PBE-GGA calculation of a geometry-optimized NaTaPd2 structure, from Alexandria via LeMat-Bulk.

Properties
D(E_F) ... 2.571 states/eV/f.u.
ΔH_f (0 K) ... -220.6 meV per atom
Spin magnetization ... 0.00 μB/cell
Electronic total energy ... -6.110 eV per atom

Cell lengths 2.9437, 2.9437, 8.2210 Å; angles 90.00, 90.00, 90.00 degrees
Sites, in units of the cell vectors:
Pd 0.0000 0.0000 0.7767
Ta 0.5000 0.5000 0.0000
Pd 0.0000 0.0000 0.2233
Na 0.5000 0.5000 0.5000

(3)
The following is a PBE-GGA calculation of a geometry-optimized SrTlAgAu structure, from Alexandria via LeMat-Bulk.

Properties
D(E_F) ... 2.095 states/eV/f.u.
ΔH_f (0 K) ... -316.6 meV per atom
Spin magnetization ... 0.00 μB/cell
Electronic total energy ... -2.861 eV per atom

Cell lengths 5.2604, 5.2604, 5.2604 Å; angles 60.00, 60.00, 60.00 degrees
Sites, in units of the cell vectors:
Sr 0.0000 0.0000 0.0000
Ag 0.2500 0.2500 0.2500
Au 0.7500 0.7500 0.7500
Tl 0.5000 0.5000 0.5000

(4)
The following is a PBE-GGA calculation of a geometry-optimized Ho2CoPd structure, from Alexandria via LeMat-Bulk.

Properties
D(E_F) ... 2.202 states/eV/f.u.
ΔH_f (0 K) ... 42.1 meV per atom
Spin magnetization ... 0.00 μB/cell
Electronic total energy ... -5.321 eV per atom

Cell lengths 3.4909, 3.4909, 8.9169 Å; angles 78.71, 78.71, 60.00 degrees
Sites, in units of the cell vectors:
Co 0.5000 0.5000 0.5000
Pd 0.0000 0.0000 0.0000
Ho 0.1018 0.1018 0.6947
Ho 0.8982 0.8982 0.3053

(5)
The following is a PBE-GGA calculation of a geometry-optimized CsU2Ag2S7 structure, from Alexandria via LeMat-Bulk.

Properties
Raw formation energy ... -89.3 kJ per mole of atoms
D(E_F) ... 8.539 states/eV/f.u.
Spin magnetization ... 1.13 μB/cell
Electronic total energy ... -5.761 eV per atom

Cell lengths 5.1814, 5.2495, 11.8823 Å; angles 102.76, 102.60, 90.00 degrees
Each line ends with the local moment (μB).
Sites, in units of the cell vectors:
S 0.2699 0.2699 0.5398  -0.04
Ag 0.7220 0.2219 0.4440  -0.02
S 0.6097 0.1097 0.2194  -0.04
S 0.8854 0.3853 0.7708  -0.04
Ag 0.2780 0.7780 0.5560  -0.02
S 0.5000 0.5000 0.0000  -0.04
S 0.3903 0.8903 0.7806  -0.04
Cs 0.0000 0.0000 0.0000  0.00
U 0.6170 0.6169 0.2340  0.76
S 0.1146 0.6146 0.2292  -0.04
U 0.3830 0.3830 0.7660  0.76
S 0.7302 0.7300 0.4603  -0.04

(6)
The following is a PBE-GGA calculation of a geometry-optimized Hf2PdO structure, from Alexandria via LeMat-Bulk.

Properties
Raw formation energy ... -119.7 kJ per mole of atoms
D(E_F) ... 2.842 states/eV/f.u.
Spin magnetization ... 0.00 μB/cell
Electronic total energy ... -8.755 eV per atom

Cell lengths 4.1762, 4.1762, 6.7196 Å; angles 71.90, 71.90, 60.00 degrees
Sites, in units of the cell vectors:
O 0.0000 0.0000 0.0000
Hf 0.8972 0.8972 0.3085
Hf 0.1028 0.1028 0.6915
Pd 0.5000 0.5000 0.5000

(7)
The following is a PBE-GGA calculation of a geometry-optimized Y4CdPd12 structure, from Alexandria via LeMat-Bulk.

Properties
D(E_F) ... 3.045 states/eV/f.u.
ΔH_f (0 K) ... -763.5 meV per atom
Spin magnetization ... 0.00 μB/cell
Electronic total energy ... -6.004 eV per atom

Cell lengths 7.4173, 7.4173, 7.4173 Å; angles 109.47, 109.47, 109.47 degrees
Sites, in units of the cell vectors:
Pd 0.3024 0.0000 0.3024
Pd 0.7500 0.2500 0.5000
Pd 0.2500 0.7500 0.5000
Y 0.0000 0.5000 0.0000
Y 0.5000 0.5000 0.5000
Y 0.0000 0.0000 0.5000
Cd 0.0000 0.0000 0.0000
Pd 0.3024 0.3024 0.0000
Pd 0.6976 0.6976 0.0000
Pd 0.7500 0.5000 0.2500
Pd 0.5000 0.7500 0.2500
Pd 0.0000 0.6976 0.6976
Pd 0.2500 0.5000 0.7500
Pd 0.0000 0.3024 0.3024
Pd 0.5000 0.2500 0.7500
Pd 0.6976 0.0000 0.6976
Y 0.5000 0.0000 0.0000

(8)
The following is a PBE-GGA calculation of a geometry-optimized ZrPaReMo structure, from Alexandria via LeMat-Bulk.

Properties
D(E_F) ... 3.646 states/eV/f.u.
ΔH_f (0 K) ... -85.0 meV per atom
Spin magnetization ... 0.00 μB/cell
Electronic total energy ... -10.416 eV per atom

Cell lengths 4.7872, 4.7872, 4.7872 Å; angles 60.00, 60.00, 60.00 degrees
Sites, in units of the cell vectors:
Pa 0.7500 0.7500 0.7500
Re 0.0000 0.0000 0.0000
Mo 0.5000 0.5000 0.5000
Zr 0.2500 0.2500 0.2500

(9)
The following is a PBE-GGA calculation of a geometry-optimized BaHf2VCo structure, from Alexandria via LeMat-Bulk.

Properties
D(E_F) ... 6.328 states/eV/f.u.
ΔH_f (0 K) ... 565.1 meV per atom
Spin magnetization ... 0.01 μB/cell
Electronic total energy ... -7.046 eV per atom

Cell lengths 4.9227, 4.7569, 4.9227 Å; angles 90.00, 90.00, 90.00 degrees
Sites, in units of the cell vectors:
Co 0.0000 0.0000 0.0000
Hf 0.0000 0.0000 0.5000
Hf 0.5000 0.0000 0.0000
V 0.0000 0.5000 0.0000
Ba 0.5000 0.5000 0.5000

(10)
The following is a PBE-GGA calculation of a geometry-optimized Ba2BeP structure, from Alexandria via LeMat-Bulk.

Properties
D(E_F) ... 1.245 states/eV/f.u.
ΔH_f (0 K) ... 142.7 meV per atom
Spin magnetization ... 2.00 μB/cell
Electronic total energy ... -3.103 eV per atom

Cell lengths 8.5842, 8.5842, 7.3693 Å; angles 54.38, 54.38, 90.00 degrees
Each line ends with the local moment (μB).
Sites, in units of the cell vectors:
Be 0.2500 0.7500 0.5000  0.12
Ba 0.8750 0.9016 0.7500  0.07
Ba 0.3750 0.3484 0.7500  0.07
P 0.7500 0.2500 0.5000  0.01
Be 0.5000 0.5000 0.0000  0.11
Ba 0.6516 0.1250 0.2500  0.07
Ba 0.0984 0.6250 0.2500  0.07
P 0.0000 0.0000 0.0000  0.01

(11)
The following is a PBE-GGA calculation of a geometry-optimized Sc2AlI structure, from Alexandria via LeMat-Bulk.

Properties
Raw formation energy ... 19.9 kJ per mole of atoms
D(E_F) ... 1.783 states/eV/f.u.
Spin magnetization ... 0.00 μB/cell
Electronic total energy ... -4.283 eV per atom

Cell lengths 6.1213, 6.1213, 8.4425 Å; angles 68.74, 68.74, 90.00 degrees
Sites, in units of the cell vectors:
I 0.0000 0.0000 0.0000
Sc 0.3750 0.4189 0.7500
Al 0.5000 0.5000 0.0000
I 0.7500 0.2500 0.5000
Sc 0.1689 0.6250 0.2500
Al 0.2500 0.7500 0.5000
Sc 0.5811 0.1250 0.2500
Sc 0.8750 0.8311 0.7500

(12)
The following is a PBE-GGA calculation of a geometry-optimized MgCoSbPd structure, from Alexandria via LeMat-Bulk.

Properties
Raw formation energy ... -24.3 kJ per mole of atoms
D(E_F) ... 3.423 states/eV/f.u.
Spin magnetization ... 1.15 μB/cell
Electronic total energy ... -4.755 eV per atom

Cell lengths 4.5008, 4.5008, 4.5008 Å; angles 60.00, 60.00, 60.00 degrees
Each line ends with the local moment (μB).
Sites, in units of the cell vectors:
Mg 0.0000 0.0000 0.0000  -0.01
Pd 0.7500 0.7500 0.7500  0.10
Sb 0.5000 0.5000 0.5000  0.03
Co 0.2500 0.2500 0.2500  1.03